[1]
First-principles (PBE) data for a relaxed KSr2NiSn crystal, as listed in Alexandria via LeMat-Bulk.

- calculated volume (A^3/atom) = 35.3
- formation energy from the elements (eV/atom) = -0.158

Unit cell a=5.942 b=5.942 c=5.005 alpha=90.00 beta=90.00 gamma=90.00
Fractional positions:
1 K 0.000 0.000 0.000
2 Sr 0.000 0.500 0.500
3 Sr 0.500 0.000 0.500
4 Ni 0.500 0.500 0.500
5 Sn 0.500 0.500 0.000

=====

[2]
First-principles (PBE) data for a relaxed NaMgAu crystal, as listed in Alexandria via LeMat-Bulk.

- calculated volume (A^3/atom) = 24.9
- energy above the lowest structure with this stoichiometry (meV per atom) = 110
- formation energy from the elements (eV/atom) = -0.253

Unit cell a=4.724 b=4.724 c=4.724 alpha=60.00 beta=60.00 gamma=60.00
Fractional positions:
1 Na 0.000 0.000 0.000
2 Mg 0.500 0.500 0.500
3 Au 0.750 0.750 0.750

=====

[3]
First-principles (PBE) data for a relaxed CaAl2Hg crystal, as listed in Alexandria via LeMat-Bulk.

- calculated volume (A^3/atom) = 23.2
- formation energy from the elements (eV/atom) = -0.100

Unit cell a=5.002 b=5.002 c=5.749 alpha=102.51 beta=102.51 gamma=41.56
Fractional positions:
1 Ca 0.000 0.000 0.000
2 Al 0.499 0.499 0.483
3 Al 0.767 0.767 0.315
4 Hg 0.239 0.239 0.712

=====

[4]
First-principles (PBE) data for a relaxed Th5CuTe4 crystal, as listed in Alexandria via LeMat-Bulk.

- calculated volume (A^3/atom) = 30.6
- uncorrected formation energy (eV/f.u.) = -8.36

Unit cell a=7.668 b=7.668 c=7.668 alpha=99.52 beta=99.52 gamma=132.00
Fractional positions:
1 Th 0.000 0.000 0.000
2 Th 0.230 0.398 0.628
3 Th 0.398 0.770 0.168
4 Th 0.602 0.230 0.832
5 Th 0.770 0.602 0.372
6 Cu 0.500 0.500 0.000
7 Te 0.085 0.688 0.773
8 Te 0.312 0.085 0.397
9 Te 0.688 0.915 0.603
10 Te 0.915 0.312 0.227

=====

[5]
First-principles (PBE) data for a relaxed PrSmZrN3 crystal, as listed in Alexandria via LeMat-Bulk.

- calculated volume (A^3/atom) = 17.8
- uncorrected formation energy (eV/f.u.) = -7.52

Unit cell a=6.512 b=3.352 c=9.802 alpha=90.00 beta=93.33 gamma=90.00
Fractional positions:
1 Pr 0.159 0.250 0.213
2 Pr 0.841 0.750 0.787
3 Sm 0.213 0.250 0.573
4 Sm 0.787 0.750 0.427
5 Zr 0.349 0.750 0.896
6 Zr 0.651 0.250 0.104
7 N 0.145 0.250 0.836
8 N 0.153 0.750 0.415
9 N 0.397 0.750 0.108
10 N 0.603 0.250 0.892
11 N 0.847 0.250 0.585
12 N 0.855 0.750 0.164

=====

Look up the calculated volume of the first one. 35.3 A^3/atom